Material: ErTlCu
Method: DFT, GGA-PBE
State: optimized geometry

N(E_F): 1.65 states/eV per cell
Uncorrected energy: -11.7 eV per cell
Size of the total moment: 0.0001 μB/atom
Formation enthalpy at 0 K: -214 meV/atom

Unit cell a=4.6568 b=4.6568 c=3.4938 alpha=90.00 beta=90.00 gamma=120.00
Last column: nearest neighbours and their distance in Å.
Space group P-6m2 (No. 187)
Inequivalent atoms, fractional coordinates:
Er: 0.0000 0.0000 0.0000  6 Tl 3.21, 6 Cu 3.21, 2 Er 3.49
Tl: 0.3333 0.6667 0.5000  3 Cu 2.69
Cu: 0.6667 0.3333 0.5000  3 Tl 2.69

---

Material: ErTlCu
Method: DFT, GGA-PBE
State: optimized geometry

N(E_F): 14.47 states/eV per cell
Uncorrected energy: -46.3 eV per cell
Size of the total moment: 0.0000 μB/atom
Formation enthalpy at 0 K: -182 meV/atom

Unit cell a=6.5366 b=6.5366 c=6.5366 alpha=90.00 beta=90.00 gamma=90.00
Last column: nearest neighbours and their distance in Å.
Space group F-43m (No. 216)
Inequivalent atoms, fractional coordinates:
Er: 0.0000 0.0000 0.0000  4 Cu 2.83
Tl: 0.0000 0.0000 0.5000  4 Cu 2.83
Cu: 0.2500 0.2500 0.7500  4 Tl 2.83, 4 Er 2.83

---

Material: Er4TlCu
Method: DFT, GGA-PBE
State: optimized geometry

N(E_F): 10.88 states/eV per cell
Uncorrected energy: -49.4 eV per cell
Size of the total moment: 0.0000 μB/atom
Formation enthalpy at 0 K: 5 meV/atom

Unit cell a=7.2007 b=7.3275 c=6.7002 alpha=90.00 beta=95.10 gamma=90.00
Last column: nearest neighbours and their distance in Å.
Space group P2_1/c (No. 14)
Inequivalent atoms, fractional coordinates:
Er: 0.1437 0.1674 0.1744  2 Cu 2.78-2.86
Er: 0.3251 0.6444 0.0951  1 Cu 2.60
Tl: 0.5000 0.0000 0.0000  6 Er 2.99-3.16
Cu: 0.0000 0.0000 0.5000  6 Er 2.60-2.86

---

Material: ErTl2Cu
Method: DFT, GGA-PBE
State: optimized geometry

N(E_F): 4.52 states/eV per cell
Uncorrected energy: -40.6 eV per cell
Size of the total moment: 0.0000 μB/atom
Formation enthalpy at 0 K: -35 meV/atom

Unit cell a=4.5896 b=4.5896 c=15.4649 alpha=90.00 beta=90.00 gamma=120.00
Last column: nearest neighbours and their distance in Å.
Space group R-3m (No. 166, hexagonal axes)
Inequivalent atoms, fractional coordinates:
Er: 0.0000 0.0000 0.0000  6 Tl 3.11
Tl: 0.0000 0.0000 0.2280  3 Cu 2.81, 3 Er 3.11
Cu: 0.0000 0.0000 0.5000  6 Tl 2.81

---

Material: Er4Tl2Cu
Method: DFT, GGA-PBE
State: optimized geometry

N(E_F): 7.23 states/eV per cell
Uncorrected energy: -27.6 eV per cell
Size of the total moment: 0.0000 μB/atom
Formation enthalpy at 0 K: -67 meV/atom

Unit cell a=6.9912 b=3.6655 c=8.2158 alpha=90.00 beta=108.83 gamma=90.00
Last column: nearest neighbours and their distance in Å.
Space group P2/m (No. 10)
Inequivalent atoms, fractional coordinates:
Er: 0.0841 0.0000 0.2989  1 Cu 2.84
Er: 0.3540 0.5000 0.6789  2 Cu 2.74
Tl: 0.2353 0.5000 0.0142  6 Er 3.12-3.40, 1 Tl 3.22
Cu: 0.5000 0.0000 0.5000  6 Er 2.74-2.84

---

Material: ErTlCu
Method: DFT, GGA-PBE
State: optimized geometry

N(E_F): 2.37 states/eV per cell
Uncorrected energy: -23.3 eV per cell
Size of the total moment: 0.0000 μB/atom
Formation enthalpy at 0 K: -205 meV/atom

Unit cell a=4.5790 b=4.7055 c=6.3492 alpha=90.00 beta=109.41 gamma=90.00
Last column: nearest neighbours and their distance in Å.
Space group P2_1/m (No. 11)
Inequivalent atoms, fractional coordinates:
Er: 0.1072 0.2500 0.2222  4 Cu 2.81-2.93
Tl: 0.3738 0.2500 0.7925  4 Cu 2.77-2.98
Cu: 0.2761 0.7500 0.4884  4 Tl 2.77-2.98, 4 Er 2.81-2.93, 2 Cu 3.09

---

Material: Er12Tl6Cu
Method: DFT, GGA-PBE
State: optimized geometry

N(E_F): 54.31 states/eV per cell
Uncorrected energy: -218.0 eV per cell
Size of the total moment: 0.0000 μB/atom
Formation enthalpy at 0 K: 19 meV/atom

Unit cell a=13.2054 b=13.2054 c=12.2662 alpha=90.00 beta=90.00 gamma=120.00
Last column: nearest neighbours and their distance in Å.
Space group R-3 (No. 148, hexagonal axes)
Inequivalent atoms, fractional coordinates:
Er: 0.0369 0.8256 0.3954  4 Tl 3.02-3.17
Er: 0.0497 0.8515 0.8877  1 Cu 2.73
Tl: 0.0505 0.7795 0.6473  7 Er 3.02-3.29
Cu: 0.0000 0.0000 0.0000  6 Er 2.73

---

Material: ErTlCu
Method: DFT, GGA-PBE
State: optimized geometry

N(E_F): 4.20 states/eV per cell
Uncorrected energy: -22.6 eV per cell
Size of the total moment: 0.0000 μB/atom
Formation enthalpy at 0 K: -91 meV/atom

Unit cell a=3.4333 b=3.4333 c=11.2956 alpha=90.00 beta=90.00 gamma=90.00
Last column: nearest neighbours and their distance in Å.
Space group I4mm (No. 107)
Inequivalent atoms, fractional coordinates:
Er: 0.0000 0.0000 0.0000  4 Cu 2.93
Tl: 0.0000 0.0000 0.7055  4 Cu 2.96
Cu: 0.0000 0.0000 0.3552  4 Er 2.93, 4 Tl 2.96

---

Material: Er2TlCu3
Method: DFT, GGA-PBE
State: optimized geometry

N(E_F): 32.74 states/eV per cell
Uncorrected energy: -199.6 eV per cell
Size of the total moment: 0.0000 μB/atom
Formation enthalpy at 0 K: -194 meV/atom

Unit cell a=6.9271 b=8.9131 c=15.5770 alpha=90.00 beta=90.00 gamma=90.00
Last column: nearest neighbours and their distance in Å.
Space group Fmmm (No. 69)
Inequivalent atoms, fractional coordinates:
Er: 0.2386 0.0000 0.0000  10 Cu 2.97-3.20, 2 Tl 3.14, 1 Er 3.30
Er: 0.2500 0.2500 0.2500  4 Tl 3.12, 8 Cu 3.14-3.17, 2 Er 3.46
Tl: 0.0000 0.0000 0.3355  3 Cu 2.67-2.71
Cu: 0.0000 0.0000 0.1615  2 Cu 2.48, 1 Tl 2.71
Cu: 0.0000 0.2393 0.0797  2 Cu 2.48, 1 Tl 2.67

---

Material: ErTlCu2
Method: DFT, GGA-PBE
State: optimized geometry

N(E_F): 8.50 states/eV per cell
Uncorrected energy: -63.2 eV per cell
Size of the total moment: 0.0000 μB/atom
Formation enthalpy at 0 K: -171 meV/atom

Unit cell a=6.6573 b=6.6573 c=6.6573 alpha=90.00 beta=90.00 gamma=90.00
Last column: nearest neighbours and their distance in Å.
Space group Fm-3m (No. 225)
Inequivalent atoms, fractional coordinates:
Er: 0.0000 0.0000 0.0000  8 Cu 2.88
Tl: 0.0000 0.0000 0.5000  8 Cu 2.88
Cu: 0.2500 0.2500 0.2500  4 Tl 2.88, 4 Er 2.88

---

Material: ErTmTlCu
Method: DFT, GGA-PBE
State: optimized geometry

N(E_F): 3.20 states/eV per cell
Uncorrected energy: -16.7 eV per cell
Size of the total moment: 0.0000 μB/atom
Formation enthalpy at 0 K: -292 meV/atom

Unit cell a=3.5319 b=3.5319 c=7.5175 alpha=90.00 beta=90.00 gamma=90.00
Last column: nearest neighbours and their distance in Å.
Space group P4mm (No. 99)
Inequivalent atoms, fractional coordinates:
Er: 0.0000 0.0000 0.0000  4 Cu 3.01, 4 Tl 3.27, 1 Tm 3.30
Tm: 0.0000 0.0000 0.5605  4 Cu 2.98, 4 Tl 3.26, 1 Er 3.30
Tl: 0.5000 0.5000 0.2813  4 Tm 3.26, 4 Er 3.27, 4 Tl 3.53
Cu: 0.5000 0.5000 0.7769  4 Tm 2.98, 4 Er 3.01

---

Material: ErTmTlCu
Method: DFT, GGA-PBE
State: optimized geometry

N(E_F): 10.02 states/eV per cell
Uncorrected energy: -66.0 eV per cell
Size of the total moment: 0.0000 μB/atom
Formation enthalpy at 0 K: -250 meV/atom

Unit cell a=7.2370 b=7.2370 c=7.2370 alpha=90.00 beta=90.00 gamma=90.00
Last column: nearest neighbours and their distance in Å.
Space group F-43m (No. 216)
Inequivalent atoms, fractional coordinates:
Er: 0.0000 0.0000 0.0000  4 Tl 3.13, 4 Cu 3.13
Tm: 0.0000 0.0000 0.5000  4 Cu 3.13, 4 Tl 3.13
Tl: 0.2500 0.2500 0.7500  4 Tm 3.13, 4 Er 3.13
Cu: 0.2500 0.2500 0.2500  4 Er 3.13, 4 Tm 3.13

---

Material: ErZrTlCu
Method: DFT, GGA-PBE
State: optimized geometry

N(E_F): 12.06 states/eV per cell
Uncorrected energy: -79.5 eV per cell
Size of the total moment: 0.2067 μB/atom
Formation enthalpy at 0 K: -75 meV/atom

Unit cell a=7.0723 b=7.0723 c=7.0723 alpha=90.00 beta=90.00 gamma=90.00
Last column: nearest neighbours and their distance in Å.
Space group F-43m (No. 216)
Inequivalent atoms, fractional coordinates:
Er: 0.0000 0.0000 0.0000  4 Tl 3.06, 4 Cu 3.06
Zr: 0.0000 0.0000 0.5000  4 Tl 3.06, 4 Cu 3.06
Tl: 0.2500 0.2500 0.7500  4 Zr 3.06, 4 Er 3.06
Cu: 0.2500 0.2500 0.2500  4 Zr 3.06, 4 Er 3.06